DFT (PBE-GGA) results for crystalline LiCa3Y at its relaxed geometry.

Values from the calculation:
For the density, the calculation gives 1.90 g/cm³. For the density of states at the Fermi level, the calculation gives 12.80 states/eV per cell.

a b c (Å): 5.7420 5.7420 5.7420
angles (deg): 90.00 90.00 90.00
With the nearest neighbours (Å) after each atom.
Space group Pm-3m (No. 221)
Inequivalent atoms, fractional coordinates:
Li 0.0000 0.0000 0.0000 [1 per cell]  6 Ca 2.87
Ca 0.0000 0.0000 0.5000 [3 per cell]  2 Li 2.87
Y 0.5000 0.5000 0.5000 [1 per cell]  12 Ca 4.06


DFT (PBE-GGA) results for crystalline Li2CaY at its relaxed geometry.

Values from the calculation:
For the density, the calculation gives 2.07 g/cm³. For the density of states at the Fermi level, the calculation gives 23.91 states/eV per cell.

a b c (Å): 7.7086 7.7086 7.7086
angles (deg): 90.00 90.00 90.00
With the nearest neighbours (Å) after each atom.
Space group F-43m (No. 216)
Inequivalent atoms, fractional coordinates:
Li 0.0000 0.0000 0.0000 [4 per cell]  4 Li 3.34, 4 Y 3.34
Li 0.2500 0.2500 0.2500 [4 per cell]  4 Li 3.34, 4 Ca 3.34
Ca 0.0000 0.0000 0.5000 [4 per cell]  4 Y 3.34, 4 Li 3.34
Y 0.2500 0.2500 0.7500 [4 per cell]  4 Li 3.34, 4 Ca 3.34


DFT (PBE-GGA) results for crystalline LiCaY2 at its relaxed geometry.

Values from the calculation:
For the density, the calculation gives 3.01 g/cm³. For the density of states at the Fermi level, the calculation gives 7.02 states/eV per cell.

a b c (Å): 3.6963 3.6963 9.0919
angles (deg): 90.00 90.00 90.00
With the nearest neighbours (Å) after each atom.
Space group P4/mmm (No. 123)
Inequivalent atoms, fractional coordinates:
Li 0.0000 0.0000 0.0000 [1 per cell]  8 Y 3.18
Ca 0.0000 0.0000 0.5000 [1 per cell]  4 Ca 3.70, 8 Y 3.79
Y 0.5000 0.5000 0.1988 [2 per cell]  4 Li 3.18


DFT (PBE-GGA) results for crystalline Li2CaY at its relaxed geometry.

Values from the calculation:
For the density, the calculation gives 2.12 g/cm³. For the density of states at the Fermi level, the calculation gives 19.14 states/eV per cell.

a b c (Å): 7.6443 7.6443 7.6443
angles (deg): 90.00 90.00 90.00
With the nearest neighbours (Å) after each atom.
Space group Fm-3m (No. 225)
Inequivalent atoms, fractional coordinates:
Li 0.2500 0.2500 0.2500 [8 per cell]  4 Y 3.31, 4 Ca 3.31
Ca 0.0000 0.0000 0.0000 [4 per cell]  8 Li 3.31
Y 0.0000 0.0000 0.5000 [4 per cell]  8 Li 3.31


DFT (PBE-GGA) results for crystalline Li2CaZn6 at its relaxed geometry.

Values from the calculation:
For the density, the calculation gives 4.60 g/cm³. For the density of states at the Fermi level, the calculation gives 8.87 states/eV per cell.

a b c (Å): 3.1857 7.6974 13.1448
angles (deg): 90.00 90.00 90.00
With the nearest neighbours (Å) after each atom.
Space group Immm (No. 71)
Inequivalent atoms, fractional coordinates:
Li 0.0000 0.0000 0.1448 [4 per cell]  10 Zn 2.72-2.95
Ca 0.0000 0.5000 0.0000 [2 per cell]  12 Zn 3.05-3.15, 2 Ca 3.19
Zn 0.0000 0.1817 0.3224 [8 per cell]  4 Zn 2.62-2.80, 1 Li 2.72
Zn 0.0000 0.3372 0.5000 [4 per cell]  3 Zn 2.51-2.62, 4 Li 2.78


DFT (PBE-GGA) results for crystalline LiCa6Zn2 at its relaxed geometry.

Values from the calculation:
For the density, the calculation gives 2.12 g/cm³. For the density of states at the Fermi level, the calculation gives 33.91 states/eV per cell.

a b c (Å): 10.2522 10.3097 11.1853
angles (deg): 90.00 90.00 90.00
With the nearest neighbours (Å) after each atom.
Space group Immm (No. 71)
Inequivalent atoms, fractional coordinates:
Li 0.0000 0.0000 0.0000 [2 per cell]  8 Ca 3.43-3.44, 2 Zn 3.55
Li 0.0000 0.0000 0.5000 [2 per cell]  8 Ca 3.53-3.68
Ca 0.0000 0.2014 0.2444 [8 per cell]  2 Zn 3.10-3.45, 1 Li 3.43
Ca 0.1952 0.5000 0.1740 [8 per cell]  3 Zn 3.09-3.22
Ca 0.2202 0.3154 0.5000 [8 per cell]  3 Zn 3.22-3.31, 1 Li 3.44
Zn 0.0000 0.3441 0.0000 [4 per cell]  8 Ca 3.10-3.31, 1 Zn 3.21
Zn 0.0000 0.5000 0.3843 [4 per cell]  1 Zn 2.59


DFT (PBE-GGA) results for crystalline Li2Ca3Zn7 at its relaxed geometry.

Values from the calculation:
For the density, the calculation gives 4.24 g/cm³. For the density of states at the Fermi level, the calculation gives 20.84 states/eV per cell.

a b c (Å): 5.4624 5.4624 26.9462
angles (deg): 90.00 90.00 120.00
With the nearest neighbours (Å) after each atom.
Space group R-3m (No. 166, hexagonal axes)
Inequivalent atoms, fractional coordinates:
Li 0.0000 0.0000 0.1670 [6 per cell]  6 Zn 2.71-2.73
Ca 0.0000 0.0000 0.3597 [6 per cell]  12 Zn 3.15-3.37, 3 Ca 3.46
Ca 0.0000 0.0000 0.5000 [3 per cell]  6 Li 3.15, 12 Zn 3.52
Zn 0.0000 0.0000 0.0000 [3 per cell]  6 Zn 2.77
Zn 0.0013 0.5007 0.4178 [18 per cell]  2 Li 2.71-2.73, 5 Zn 2.72-2.77


DFT (PBE-GGA) results for crystalline LiCaZn at its relaxed geometry.

Values from the calculation:
For the density, the calculation gives 2.57 g/cm³. For the density of states at the Fermi level, the calculation gives 1.49 states/eV per cell.

a b c (Å): 4.6916 4.6916 3.8123
angles (deg): 90.00 90.00 120.00
With the nearest neighbours (Å) after each atom.
Space group P-6m2 (No. 187)
Inequivalent atoms, fractional coordinates:
Li 0.0000 0.0000 0.0000 [1 per cell]  3 Zn 2.71
Ca 0.3333 0.6667 0.5000 [1 per cell]  6 Li 3.31, 6 Zn 3.31
Zn 0.6667 0.3333 0.0000 [1 per cell]  3 Li 2.71


Which E_form belongs to each record? In order, 358.3 286.8 139.1 123.9 -133.8 -110.5 -234.0 -114.6 meV/atom.